Here is SrCe2WO8 after structural relaxation from Alexandria via LeMat-Bulk. Energies are from PBE with a Hubbard U.

CIF file:
```
data_SrCe2WO8
_chemical_formula_sum 'Sr2 Ce4 W2 O16'
_space_group_name_H-M_alt 'C m m m'
_space_group_IT_number 65
_space_group_name_Hall '-C 2 2'
_cell_length_a 7.190
_cell_length_b 7.259
_cell_length_c 7.096
_cell_angle_alpha 90.00
_cell_angle_beta 90.00
_cell_angle_gamma 90.00
loop_
_atom_site_label
_atom_site_type_symbol
_atom_site_fract_x
_atom_site_fract_y
_atom_site_fract_z
_atom_site_occupancy
Sr1 Sr 0.000 0.000 0.000 1
Ce1 Ce 0.000 0.500 0.252 1
W1 W 0.000 0.000 0.500 1
O1 O 0.000 0.276 0.500 1
O2 O 0.000 0.328 0.000 1
O3 O 0.187 0.000 0.301 1
```

Volume (Å³ per cell): 370.3
D(E_F) (states/eV per atom): 0.000
E (eV per atom): -7.883
Total moment (μB per cell): 0.0